Compound: LaPr4Sm3Te8
Source: Alexandria
Functional: PBE
Structure: optimized geometry

abc: 9.0026 9.0267 9.0014
angles: 119.89 120.00 90.00
Positions (direct):
1 La 0.0000 0.5000 0.0000
2 Pr 0.5000 0.0000 0.0000
3 Pr 0.5000 0.0000 0.5000
4 Pr 0.0000 0.0000 0.0000
5 Pr 0.0000 0.0000 0.5000
6 Sm 0.5000 0.5000 0.0000
7 Sm 0.5000 0.5000 0.5000
8 Sm 0.0000 0.5000 0.5000
9 Te 0.2507 0.7458 0.9951
10 Te 0.2507 0.7458 0.5013
11 Te 0.2524 0.2572 0.5048
12 Te 0.7445 0.7458 0.9951
13 Te 0.2555 0.2542 0.0049
14 Te 0.7476 0.7428 0.4952
15 Te 0.7493 0.2542 0.4987
16 Te 0.7493 0.2542 0.0049

## Properties
ρ ... 6970 kg/m3
Calculated total energy ... -5.39 eV per atom
Space-group type ... R-3m
Formation energy (no corrections) ... -1434 meV per atom


Compound: LaPrSmTh
Source: Alexandria
Functional: PBE
Structure: optimized geometry

abc: 3.6284 3.6284 10.5291
angles: 90.00 90.00 90.00
Positions (direct):
1 La 0.5000 0.5000 0.8042
2 Pr 0.0000 0.0000 0.0765
3 Sm 0.5000 0.5000 0.3355
4 Th 0.0000 0.0000 0.5684

## Properties
ρ ... 7933 kg/m3
Calculated total energy ... -5.43 eV per atom
Space-group type ... P4mm
Energy relative to the elements ... 0.03 eV per atom


no.,total moment (μB/cell),DOS(E_F) (states/eV per atom)
1,0.0,0.783
2,0.0,1.435